VASP calculation (GGA-PBE) on crystalline LiTmAg at its relaxed geometry.

Lattice parameters (Å, degrees): 3.539 3.541 10.186 90.00 90.02 90.00
Fractional coordinates of all 6 atoms:
Li  0.872  0.291  0.826
Li  0.373  0.791  0.686
Tm  0.373  0.792  0.375
Ag  0.873  0.291  0.548
Ag  0.372  0.791  0.965
Tm  0.872  0.291  0.137

Calculated values
The value obtained for the energy of formation from the pure elements is -187 meV per atom.


VASP calculation (GGA-PBE) on crystalline GaBIr3 at its relaxed geometry.

Lattice parameters (Å, degrees): 4.292 5.937 5.937 117.62 90.00 90.00
Fractional coordinates of all 10 atoms:
Ir  0.250  0.814  0.638
Ir  0.750  0.186  0.362
Ir  0.250  0.817  0.183
Ir  0.750  0.183  0.817
Ir  0.250  0.362  0.186
B  0.500  0.000  0.000
Ga  0.250  0.337  0.663
Ga  0.750  0.663  0.337
B  0.000  0.000  0.000
Ir  0.750  0.638  0.814

Calculated values
The value obtained for the energy of formation from the pure elements is -68 meV per atom.


VASP calculation (GGA-PBE) on crystalline SbWAu4 at its relaxed geometry.

Lattice parameters (Å, degrees): 5.541 5.541 5.541 60.00 60.00 60.00
Fractional coordinates of all 6 atoms:
W  0.000  0.000  0.000
Au  0.375  0.876  0.375
Au  0.375  0.375  0.876
Au  0.375  0.375  0.375
Au  0.876  0.375  0.375
Sb  0.750  0.750  0.750

Calculated values
The raw total energy comes out at -26.12 eV per cell.


no.,total magnetic moment (μB per formula unit)
1,0.331
2,0.000
3,3.292